A geometry-optimized Ti3NbV structure. Source: Alexandria via LeMat-Bulk, functional PBE-GGA.

Cell lengths 4.5047, 4.5047, 4.5047 Å; angles 90.00, 90.00, 90.00 degrees
With the nearest neighbours (Å) after each atom.
Positions (direct):
1 Ti 0.0000 0.0000 0.5000  2 V 2.25
2 Ti 0.0000 0.5000 0.0000  2 V 2.25
3 Ti 0.5000 0.0000 0.0000  2 V 2.25
4 Nb 0.5000 0.5000 0.5000  12 Ti 3.19
5 V 0.0000 0.0000 0.0000  6 Ti 2.25

Calculated values
- offset from the most stable computed form (meV/atom) = 529
- final energy (eV per atom) = -7.860
- V (Å³/atom) = 18.282
- space-group type = Pm-3m (221)

A geometry-optimized Ti2NbV9 structure. Source: Alexandria via LeMat-Bulk, functional PBE-GGA.

Cell lengths 8.3008, 8.3008, 8.3008 Å; angles 36.43, 36.43, 36.43 degrees
With the nearest neighbours (Å) after each atom.
Positions (direct):
1 Ti 0.1458 0.1458 0.1458  12 V 2.83-3.04, 3 Ti 3.15
2 Ti 0.8542 0.8542 0.8542  12 V 2.83-3.04, 3 Ti 3.15
3 Nb 0.0000 0.0000 0.0000  18 V 3.00-3.24
4 V 0.0798 0.5855 0.5855  7 V 2.43-2.62
5 V 0.3329 0.3329 0.3329  6 V 2.43-2.47
6 V 0.4145 0.4145 0.9202  7 V 2.43-2.62
7 V 0.4145 0.9202 0.4145  7 V 2.43-2.62
8 V 0.5000 0.5000 0.5000  6 V 2.45
9 V 0.5855 0.0798 0.5855  7 V 2.43-2.62
10 V 0.5855 0.5855 0.0798  7 V 2.43-2.62
11 V 0.6671 0.6671 0.6671  6 V 2.43-2.47
12 V 0.9202 0.4145 0.4145  7 V 2.43-2.62

Calculated values
- final energy (eV per atom) = -8.838
- V (Å³/atom) = 15.047
- space-group type = R-3m (166)

A geometry-optimized Ti2NbV2 structure. Source: Alexandria via LeMat-Bulk, functional PBE-GGA.

Cell lengths 5.3882, 5.3882, 5.2625 Å; angles 90.59, 90.59, 32.70 degrees
With the nearest neighbours (Å) after each atom.
Positions (direct):
1 Ti 0.1227 0.1227 0.3915  3 V 2.55-2.69, 1 Ti 2.79, 2 Nb 2.85
2 Ti 0.8773 0.8773 0.6085  3 V 2.55-2.69, 1 Ti 2.79, 2 Nb 2.85
3 Nb 0.5000 0.5000 0.0000  4 V 2.71, 4 Ti 2.85, 2 Nb 3.03
4 V 0.2030 0.2030 0.8515  2 V 2.38, 1 Ti 2.55
5 V 0.7970 0.7970 0.1485  2 V 2.38, 1 Ti 2.55

Calculated values
- offset from the most stable computed form (meV/atom) = 0
- final energy (eV per atom) = -8.610
- V (Å³/atom) = 16.506
- space-group type = C2/m (12)

What is the formula in the first record? Ti3NbV

final energy of number 1 (Ti3NbV)? -7.860 eV per atom

Which value of final energy does entry 1 give? -7.860 eV per atom

Which value of final energy does entry 3 give? -8.610 eV per atom